Entry 1:
BeReCl2: relaxed, PBE.

abc: 4.486 4.486 2.955
angles: 90.00 90.00 102.08
Fractional coordinates of all 4 atoms:
Be  0.000  0.000  0.000
Re  0.500  0.500  0.000
Cl  0.000  0.500  0.500
Cl  0.500  0.000  0.500

Results
Distance to the lowest polymorph of the same formula, eV per atom: 1.319
Symmetry: Cmmm
E_tot, eV per cell: -15.0

---

Entry 2:
SrTlPCl2: relaxed, PBE.

abc: 5.438 5.438 5.200
angles: 90.00 90.00 90.00
Fractional coordinates of all 5 atoms:
Sr  0.000  0.000  0.000
Tl  0.500  0.500  0.500
P  0.500  0.500  0.000
Cl  0.000  0.500  0.500
Cl  0.500  0.000  0.500

Results
Distance to the lowest polymorph of the same formula, eV per atom: 0.173
Symmetry: P4/mmm
E_tot, eV per cell: -16.3